# Nd3PuTh2N6

Crystalline Nd3PuTh2N6 at its relaxed geometry (GGA-PBE, the Alexandria database).

Cell and atoms, written as POSCAR:
```
Nd3PuTh2N6
1.0
6.290 0.000 -0.001
-3.144 5.448 -0.001
-1.050 -1.818 5.935
N Nd Th Pu
6 3 2 1
Direct
0.407 0.078 0.234 N
0.593 0.922 0.766 N
0.748 0.748 0.236 N
0.252 0.252 0.764 N
0.922 0.593 0.766 N
0.078 0.407 0.234 N
0.500 0.500 0.500 Nd
0.835 0.165 0.500 Nd
0.165 0.835 0.500 Nd
0.667 0.333 0.000 Th
0.333 0.667 0.000 Th
0.000 0.000 0.000 Pu
```

Properties
- space-group type = C2/m, No. 12
- raw total energy (eV per formula unit) = -110.71
- mass density (g/cm³) = 10.0

***

# Nd4PuTh3N8

Crystalline Nd4PuTh3N8 at its relaxed geometry (GGA-PBE, the Alexandria database).

Cell and atoms, written as POSCAR:
```
Nd4PuTh3N8
1.0
7.281 0.000 0.000
0.000 7.276 -0.008
-3.640 -3.637 5.151
Th Nd N Pu
3 4 8 1
Direct
0.500 0.500 0.500 Th
0.000 0.500 0.500 Th
0.500 0.500 0.000 Th
0.500 0.000 0.000 Nd
0.500 0.000 0.500 Nd
0.000 0.000 0.000 Nd
0.000 0.000 0.500 Nd
0.255 0.264 0.510 N
0.757 0.266 0.009 N
0.757 0.266 0.514 N
0.748 0.734 0.991 N
0.252 0.266 0.009 N
0.243 0.734 0.991 N
0.243 0.734 0.486 N
0.745 0.736 0.490 N
0.000 0.500 0.000 Pu
```

Properties
- space-group type = R-3m, No. 166
- raw total energy (eV per formula unit) = -145.71
- mass density (g/cm³) = 9.9

***

# NdPuTh2N4

Crystalline NdPuTh2N4 at its relaxed geometry (GGA-PBE, the Alexandria database).

Cell and atoms, written as POSCAR:
```
NdPuTh2N4
1.0
3.642 0.000 0.000
0.000 6.298 0.100
0.000 -2.210 5.855
Pu Nd N Th
1 1 4 2
Direct
0.000 0.000 0.000 Pu
0.500 0.500 0.000 Nd
0.000 0.757 0.261 N
0.500 0.244 0.251 N
0.000 0.243 0.739 N
0.500 0.756 0.749 N
0.000 0.500 0.500 Th
0.500 0.000 0.500 Th
```

Properties
- space-group type = P2/m, No. 10
- raw total energy (eV per formula unit) = -78.78
- mass density (g/cm³) = 11.2

***

# Nd2PuTiN5

Crystalline Nd2PuTiN5 at its relaxed geometry (GGA-PBE, the Alexandria database).

Cell and atoms, written as POSCAR:
```
Nd2PuTiN5
1.0
-3.251 -0.026 -1.258
3.277 -5.376 -3.527
-2.857 -6.673 7.517
Ti N Nd Pu
2 10 4 2
Direct
0.514 0.028 0.967 Ti
0.486 0.972 0.467 Ti
0.052 0.104 0.039 N
0.948 0.896 0.539 N
0.692 0.385 0.883 N
0.281 0.563 0.644 N
0.624 0.249 0.507 N
0.506 0.011 0.287 N
0.494 0.989 0.787 N
0.376 0.751 0.007 N
0.308 0.615 0.383 N
0.719 0.437 0.144 N
0.133 0.266 0.295 Nd
0.893 0.786 0.193 Nd
0.107 0.214 0.693 Nd
0.867 0.734 0.795 Nd
0.788 0.576 0.509 Pu
0.212 0.424 0.009 Pu
```

Properties
- space-group type = Cmc2_1, No. 36
- raw total energy (eV per formula unit) = -84.99
- mass density (g/cm³) = 8.5

***

# NdTm2PuN4

Crystalline NdTm2PuN4 at its relaxed geometry (GGA-PBE, the Alexandria database).

Cell and atoms, written as POSCAR:
```
NdTm2PuN4
1.0
-1.952 -1.206 -2.627
-1.543 -4.772 3.337
-3.971 4.442 0.912
Tm N Pu Nd
2 4 1 1
Direct
0.000 0.500 0.500 Tm
0.500 0.000 0.500 Tm
0.000 0.236 0.740 N
0.000 0.764 0.260 N
0.500 0.242 0.255 N
0.500 0.758 0.745 N
0.000 0.000 0.000 Pu
0.500 0.500 0.000 Nd
```

Properties
- space-group type = P2/m, No. 10
- raw total energy (eV per formula unit) = -73.52
- mass density (g/cm³) = 10.9

***

# Nd2PuUN4

Crystalline Nd2PuUN4 at its relaxed geometry (GGA-PBE, the Alexandria database).

Cell and atoms, written as POSCAR:
```
Nd2PuUN4
1.0
-2.831 -0.669 -2.019
3.533 0.058 -4.972
-0.255 -5.725 2.253
Nd U N Pu
2 1 4 1
Direct
0.000 0.500 0.500 Nd
0.500 0.000 0.500 Nd
0.500 0.500 0.000 U
0.000 0.276 0.788 N
0.500 0.746 0.786 N
0.000 0.724 0.212 N
0.500 0.254 0.214 N
0.000 0.000 0.000 Pu
```

Properties
- space-group type = P2/m, No. 10
- raw total energy (eV per formula unit) = -79.48
- mass density (g/cm³) = 10.9

***

# NdPuVN3

Crystalline NdPuVN3 at its relaxed geometry (GGA-PBE, the Alexandria database).

Cell and atoms, written as POSCAR:
```
NdPuVN3
1.0
-0.218 -3.441 0.368
1.730 -0.863 -7.047
7.028 -0.151 2.742
Pu N V Nd
2 6 2 2
Direct
0.250 0.634 0.171 Pu
0.750 0.366 0.829 Pu
0.750 0.165 0.505 N
0.250 0.587 0.871 N
0.750 0.413 0.129 N
0.750 0.884 0.156 N
0.250 0.116 0.844 N
0.250 0.835 0.495 N
0.750 0.904 0.406 V
0.250 0.096 0.594 V
0.250 0.165 0.172 Nd
0.750 0.835 0.828 Nd
```

Properties
- space-group type = P2_1/m, No. 11
- raw total energy (eV per formula unit) = -59.70
- mass density (g/cm³) = 8.4

***

# NdPuVN4

Crystalline NdPuVN4 at its relaxed geometry (GGA-PBE, the Alexandria database).

Cell and atoms, written as POSCAR:
```
NdPuVN4
1.0
5.347 0.000 0.000
0.000 5.359 0.000
-2.674 0.000 6.301
N Pu V Nd
8 2 2 2
Direct
0.500 0.500 0.500 N
0.000 0.000 0.500 N
0.416 0.750 0.832 N
0.500 0.000 0.500 N
0.060 0.750 0.119 N
0.584 0.250 0.168 N
0.940 0.250 0.881 N
0.000 0.500 0.500 N
0.106 0.250 0.212 Pu
0.894 0.750 0.788 Pu
0.727 0.250 0.455 V
0.273 0.750 0.545 V
0.609 0.750 0.219 Nd
0.391 0.250 0.781 Nd
```

Properties
- space-group type = Cmcm, No. 63
- raw total energy (eV per formula unit) = -69.06
- mass density (g/cm³) = 9.1

***

# Nd2PuWN5

Crystalline Nd2PuWN5 at its relaxed geometry (GGA-PBE, the Alexandria database).

Cell and atoms, written as POSCAR:
```
Nd2PuWN5
1.0
-1.171 -2.896 -1.599
4.575 2.880 -4.714
7.980 -5.610 4.318
N W Nd Pu
10 2 4 2
Direct
0.958 0.915 0.537 N
0.621 0.242 0.504 N
0.674 0.349 0.884 N
0.326 0.651 0.384 N
0.379 0.758 0.004 N
0.042 0.085 0.037 N
0.488 0.976 0.785 N
0.720 0.440 0.155 N
0.512 0.024 0.285 N
0.280 0.560 0.655 N
0.518 0.036 0.956 W
0.482 0.964 0.456 W
0.893 0.786 0.191 Nd
0.851 0.702 0.799 Nd
0.107 0.214 0.691 Nd
0.149 0.298 0.299 Nd
0.211 0.422 0.012 Pu
0.789 0.578 0.512 Pu
```

Properties
- space-group type = Cmc2_1, No. 36
- raw total energy (eV per formula unit) = -88.06
- mass density (g/cm³) = 10.0

***

# Nd2YPuN4

Crystalline Nd2YPuN4 at its relaxed geometry (GGA-PBE, the Alexandria database).

Cell and atoms, written as POSCAR:
```
Nd2YPuN4
1.0
3.560 0.000 0.000
0.000 6.128 0.115
0.000 -2.135 5.780
Y Nd N Pu
1 2 4 1
Direct
0.500 0.500 0.000 Y
0.000 0.500 0.500 Nd
0.500 0.000 0.500 Nd
0.500 0.236 0.227 N
0.000 0.752 0.232 N
0.000 0.248 0.768 N
0.500 0.764 0.773 N
0.000 0.000 0.000 Pu
```

Properties
- space-group type = P2/m, No. 10
- raw total energy (eV per formula unit) = -74.92
- mass density (g/cm³) = 8.9

***

# NdPu2ZrN4

Crystalline NdPu2ZrN4 at its relaxed geometry (GGA-PBE, the Alexandria database).

Cell and atoms, written as POSCAR:
```
NdPu2ZrN4
1.0
-1.471 -0.641 -3.062
1.003 -5.916 0.757
-5.318 1.404 2.261
Zr N Pu Nd
1 4 2 1
Direct
0.000 0.000 0.000 Zr
0.000 0.223 0.741 N
0.500 0.771 0.755 N
0.500 0.229 0.245 N
0.000 0.777 0.259 N
0.500 0.000 0.500 Pu
0.000 0.500 0.500 Pu
0.500 0.500 0.000 Nd
```

Properties
- space-group type = P2/m, No. 10
- raw total energy (eV per formula unit) = -86.42
- mass density (g/cm³) = 11.0

***

# NdPuZrN3

Crystalline NdPuZrN3 at its relaxed geometry (GGA-PBE, the Alexandria database).

Cell and atoms, written as POSCAR:
```
NdPuZrN3
1.0
3.287 0.000 0.000
0.000 6.437 0.865
0.000 -1.598 9.569
Zr Nd N Pu
2 2 6 2
Direct
0.750 0.352 0.895 Zr
0.250 0.648 0.105 Zr
0.750 0.853 0.790 Nd
0.250 0.147 0.210 Nd
0.250 0.145 0.839 N
0.750 0.855 0.161 N
0.750 0.139 0.418 N
0.750 0.394 0.109 N
0.250 0.606 0.891 N
0.250 0.861 0.582 N
0.750 0.784 0.431 Pu
0.250 0.216 0.569 Pu
```

Properties
- space-group type = P2_1/m, No. 11
- raw total energy (eV per formula unit) = -60.03
- mass density (g/cm³) = 8.4

***

# RbNdN

Crystalline RbNdN at its relaxed geometry (GGA-PBE, the Alexandria database).

Cell and atoms, written as POSCAR:
```
RbNdN
1.0
-2.508 -2.437 -1.233
2.445 -1.257 -2.488
4.605 -9.410 9.331
Rb N Nd
2 2 2
Direct
0.254 0.254 0.342 Rb
0.746 0.746 0.658 Rb
0.749 0.749 0.922 N
0.251 0.251 0.078 N
0.751 0.751 0.086 Nd
0.249 0.249 0.914 Nd
```

Properties
- space-group type = C2/m, No. 12
- raw total energy (eV per formula unit) = -15.91
- mass density (g/cm³) = 4.2

***

# Rb2NdTc2N6

Crystalline Rb2NdTc2N6 at its relaxed geometry (GGA-PBE, the Alexandria database).

Cell and atoms, written as POSCAR:
```
Rb2NdTc2N6
1.0
6.418 0.000 0.000
-3.209 5.598 -0.325
0.000 -3.588 6.653
N Rb Tc Nd
6 2 2 1
Direct
0.774 0.012 0.740 N
0.226 0.988 0.260 N
0.762 0.988 0.260 N
0.238 0.012 0.740 N
0.760 0.520 0.690 N
0.240 0.480 0.310 N
0.283 0.566 0.818 Rb
0.717 0.434 0.182 Rb
0.943 0.885 0.791 Tc
0.057 0.115 0.209 Tc
0.500 0.000 0.500 Nd
```

Properties
- space-group type = C2/m, No. 12
- raw total energy (eV per formula unit) = -79.45
- mass density (g/cm³) = 4.3

***

# RbNdVN3

Crystalline RbNdVN3 at its relaxed geometry (GGA-PBE, the Alexandria database).

Cell and atoms, written as POSCAR:
```
RbNdVN3
1.0
3.866 0.000 0.000
-1.933 6.838 -0.063
0.000 -2.093 8.018
N Nd Rb V
6 2 2 2
Direct
0.844 0.688 0.626 N
0.128 0.257 0.773 N
0.872 0.743 0.227 N
0.511 0.022 0.329 N
0.156 0.312 0.374 N
0.489 0.978 0.671 N
0.342 0.684 0.419 Nd
0.658 0.316 0.581 Nd
0.640 0.281 0.065 Rb
0.360 0.719 0.935 Rb
0.993 0.985 0.677 V
0.007 0.015 0.323 V
```

Properties
- space-group type = C2/m, No. 12
- raw total energy (eV per formula unit) = -42.88
- mass density (g/cm³) = 5.1

***

# RbNdWN3

Crystalline RbNdWN3 at its relaxed geometry (GGA-PBE, the Alexandria database).

Cell and atoms, written as POSCAR:
```
RbNdWN3
1.0
-2.417 -2.620 1.709
-1.200 -0.558 -7.124
6.510 -5.093 1.399
N Rb W Nd
6 2 2 2
Direct
0.487 0.973 0.649 N
0.156 0.312 0.364 N
0.871 0.741 0.223 N
0.129 0.259 0.777 N
0.844 0.688 0.636 N
0.513 0.027 0.351 N
0.358 0.715 0.934 Rb
0.642 0.285 0.066 Rb
0.991 0.982 0.667 W
0.009 0.018 0.333 W
0.663 0.327 0.592 Nd
0.337 0.673 0.408 Nd
```

Properties
- space-group type = C2/m, No. 12
- raw total energy (eV per formula unit) = -46.94
- mass density (g/cm³) = 6.8

***

# Nd3Re5N12

Crystalline Nd3Re5N12 at its relaxed geometry (GGA-PBE, the Alexandria database).

Cell and atoms, written as POSCAR:
```
Nd3Re5N12
1.0
11.220 0.000 0.000
-3.740 10.579 0.000
-3.740 -5.289 9.161
Nd N Re
12 48 20
Direct
0.625 0.250 0.375 Nd
0.250 0.625 0.875 Nd
0.375 0.750 0.625 Nd
0.875 0.750 0.125 Nd
0.750 0.375 0.125 Nd
0.250 0.125 0.375 Nd
0.750 0.875 0.625 Nd
0.125 0.875 0.750 Nd
0.875 0.125 0.250 Nd
0.625 0.375 0.750 Nd
0.375 0.625 0.250 Nd
0.125 0.250 0.875 Nd
0.809 0.318 0.921 N
0.682 0.191 0.579 N
0.079 0.182 0.191 N
0.682 0.491 0.603 N
0.897 0.818 0.509 N
0.603 0.991 0.682 N
0.809 0.491 0.387 N
0.103 0.921 0.113 N
0.818 0.921 0.309 N
0.421 0.309 0.318 N
0.103 0.182 0.491 N
0.921 0.818 0.809 N
0.613 0.603 0.921 N
0.113 0.421 0.103 N
0.991 0.387 0.309 N
0.421 0.113 0.603 N
0.613 0.009 0.191 N
0.182 0.103 0.991 N
0.691 0.579 0.182 N
0.603 0.613 0.421 N
0.887 0.579 0.897 N
0.191 0.682 0.079 N
0.113 0.691 0.509 N
0.318 0.809 0.421 N
0.397 0.009 0.318 N
0.191 0.509 0.613 N
0.309 0.887 0.991 N
0.579 0.691 0.682 N
0.691 0.113 0.009 N
0.991 0.603 0.182 N
0.491 0.682 0.103 N
0.921 0.103 0.613 N
0.387 0.397 0.079 N
0.818 0.897 0.009 N
0.309 0.421 0.818 N
0.318 0.509 0.397 N
0.079 0.897 0.387 N
0.579 0.887 0.397 N
0.509 0.318 0.897 N
0.009 0.397 0.818 N
0.491 0.809 0.887 N
0.182 0.079 0.691 N
0.387 0.991 0.809 N
0.009 0.613 0.691 N
0.887 0.309 0.491 N
0.397 0.387 0.579 N
0.509 0.191 0.113 N
0.897 0.079 0.887 N
0.000 0.000 0.500 Re
0.500 0.000 0.500 Re
0.625 0.875 0.250 Re
0.625 0.750 0.875 Re
0.250 0.375 0.625 Re
0.000 0.500 0.500 Re
0.500 0.000 0.000 Re
0.125 0.750 0.375 Re
0.875 0.250 0.625 Re
0.000 0.500 0.000 Re
0.750 0.125 0.875 Re
0.375 0.125 0.750 Re
0.125 0.375 0.250 Re
0.500 0.500 0.500 Re
0.375 0.250 0.125 Re
0.000 0.000 0.000 Re
0.500 0.500 0.000 Re
0.750 0.625 0.375 Re
0.250 0.875 0.125 Re
0.875 0.625 0.750 Re
```

Properties
- space-group type = Ia-3d, No. 230
- raw total energy (eV per formula unit) = -186.57
- mass density (g/cm³) = 9.4

***

# Nd2Re2N7

Crystalline Nd2Re2N7 at its relaxed geometry (GGA-PBE, the Alexandria database).

Cell and atoms, written as POSCAR:
```
Nd2Re2N7
1.0
-3.381 2.785 2.818
2.951 -2.788 4.745
3.718 4.705 -1.742
N Re Nd
7 2 2
Direct
0.212 0.091 0.390 N
0.711 0.391 0.391 N
0.212 0.390 0.091 N
0.788 0.610 0.909 N
0.788 0.909 0.610 N
0.500 0.000 0.000 N
0.289 0.609 0.609 N
0.402 0.221 0.221 Re
0.598 0.779 0.779 Re
0.000 0.303 0.697 Nd
0.000 0.697 0.303 Nd
```

Properties
- space-group type = C2/m, No. 12
- raw total energy (eV per formula unit) = -97.61
- mass density (g/cm³) = 6.6